Entry from the Alexandria database: a geometry-optimized Pu8Mn5Rh structure (GGA-PBE).

Cell: 7.0783 7.0783 7.0783 Å, 112.00 112.00 104.52°
Positions (direct):
Pu: 0.0185 0.1293 0.7737
Pu: 0.2403 0.4764 0.5908
Pu: 0.3505 0.7597 0.2361
Pu: 0.3556 0.2448 0.2263
Pu: 0.5236 0.1144 0.7639
Pu: 0.7552 0.9815 0.1108
Pu: 0.8707 0.6444 0.8892
Pu: 0.8856 0.6495 0.4092
Mn: 0.1758 0.0441 0.4474
Mn: 0.2716 0.8242 0.8684
Mn: 0.5000 0.5000 0.0000
Mn: 0.5968 0.7284 0.5526
Mn: 0.9559 0.4032 0.1316
Rh: 0.7500 0.2500 0.5000

- Energy of formation from the pure elements: 0.26 eV per atom
- Fermi-level density of states: 47.40 states/eV per cell
- Total magnetization: 8.875 μB per cell